Density functional theory data (PBE-GGA) for a relaxed Pr2NdSm3S6 crystal.

Output
Size of the total moment, μB per cell: 0.00
DOS(E_F), states/eV per atom: 0.441
Formation energy (no corrections), meV/atom: -2027

a b c (Å): 6.999 12.162 7.027
angles (deg): 90.00 109.44 90.00
Space group C2/m (No. 12)
Inequivalent atoms, fractional coordinates:
Pr (0.000, 0.167, 0.000) [4 per cell]
Nd (0.000, 0.500, 0.000) [2 per cell]
Sm (0.000, 0.000, 0.500) [2 per cell]
Sm (0.000, 0.333, 0.500) [4 per cell]
S (0.245, 0.500, 0.742) [4 per cell]
S (0.248, 0.166, 0.743) [8 per cell]

=====

Density functional theory data (PBE-GGA) for a relaxed Zr2CoSi crystal.

Output
Size of the total moment, μB per cell: 0.00
DOS(E_F), states/eV per atom: 0.724
Formation energy (no corrections), meV/atom: -478

a b c (Å): 3.220 4.244 10.062
angles (deg): 90.00 90.00 90.00
Space group Imm2 (No. 44)
Inequivalent atoms, fractional coordinates:
Zr (0.000, 0.000, 0.000) [2 per cell]
Zr (0.000, 0.500, 0.230) [2 per cell]
Co (0.000, 0.500, 0.751) [2 per cell]
Si (0.000, 0.000, 0.425) [2 per cell]

=====

Density functional theory data (PBE-GGA) for a relaxed LiNiSn2 crystal.

Output
ΔE_f, eV/f.u.: -0.96
Size of the total moment, μB per cell: 0.00
DOS(E_F), states/eV per atom: 0.280

a b c (Å): 4.2684 4.2684 15.2860
angles (deg): 90.00 90.00 120.00
Space group R3m (No. 160, hexagonal axes)
Inequivalent atoms, fractional coordinates:
Li (0.0000, 0.0000, 0.0000) [3 per cell]
Ni (0.0000, 0.0000, 0.1789) [3 per cell]
Sn (0.0000, 0.0000, 0.5703) [3 per cell]
Sn (0.0000, 0.0000, 0.7781) [3 per cell]

=====

Density functional theory data (PBE-GGA) for a relaxed CoRe2Cl crystal.

Output
Size of the total moment, μB per cell: 0.67
DOS(E_F), states/eV per atom: 0.787
ΔE to the lowest computed polymorph, eV/atom: 0.382
Formation energy (no corrections), meV/atom: 750

a b c (Å): 2.984 3.147 6.657
angles (deg): 90.00 90.00 90.00
Space group Pmmm (No. 47)
Inequivalent atoms, fractional coordinates:
Co (0.000, 0.000, 0.000) [1 per cell]
Re (0.500, 0.500, 0.183) [2 per cell]
Cl (0.000, 0.000, 0.500) [1 per cell]